Pm3Gd | Alexandria via LeMat-Bulk | PBE | optimized geometry; symmetry = I4/mmm, No. 139; polymorph energy (0 for the lowest one) = 0.00 eV/f.u.; E_tot = -28.289 eV for the cell shown; M_tot = 7.25 μB/f.u.; mass density = 7.23 g/cm³; E_form = 0.011 eV/atom
1.0
6.306 -0.006 0.000
2.128 5.936 0.000
-4.217 -2.965 3.632
Gd Pm
1 3
direct
0.000 0.000 0.000
0.750 0.250 0.500
0.250 0.750 0.500
0.500 0.500 0.000